No. 1
Entry from Alexandria via LeMat-Bulk: Ho6Tl2Pt after structural relaxation (PBE).

Output
The calculation puts the energy above the most stable polymorph in this dataset at 0.0000 eV per atom. The energy of formation comes out at -0.484 eV/atom. The value obtained for the uncorrected energy is -42.59 eV for the cell shown. The total moment is 0.24 μB/cell.

Structure (CIF):
```
data_Ho6Tl2Pt
_chemical_formula_sum 'Ho6 Tl2 Pt1'
_cell_length_a 3.827
_cell_length_b 8.664
_cell_length_c 8.664
_cell_angle_alpha 119.91
_cell_angle_beta 90.00
_cell_angle_gamma 90.00
_symmetry_space_group_name_H-M 'P 1'
_symmetry_Int_Tables_number 1
loop_
_symmetry_equiv_pos_as_xyz
'x,y,z'
loop_
_atom_site_label
_atom_site_type_symbol
_atom_site_fract_x
_atom_site_fract_y
_atom_site_fract_z
Ho1 Ho 0.000 0.000 0.000
Ho2 Ho 0.000 0.511 0.755
Ho3 Ho 0.000 0.755 0.511
Ho4 Ho 0.500 0.150 0.755
Ho5 Ho 0.500 0.360 0.360
Ho6 Ho 0.500 0.755 0.150
Tl1 Tl 0.000 0.088 0.422
Tl2 Tl 0.000 0.422 0.088
Pt1 Pt 0.500 0.757 0.757
```

---

No. 2
Entry from Alexandria via LeMat-Bulk: Ho7Tl2Pt2 after structural relaxation (PBE).

Output
The energy of formation comes out at -0.515 eV/atom. The value obtained for the uncorrected energy is -54.52 eV for the cell shown. The total moment is 0.00 μB/cell.

Structure (CIF):
```
data_Ho7Tl2Pt2
_chemical_formula_sum 'Ho7 Tl2 Pt2'
_cell_length_a 6.890
_cell_length_b 6.890
_cell_length_c 7.055
_cell_angle_alpha 90.00
_cell_angle_beta 90.00
_cell_angle_gamma 106.36
_symmetry_space_group_name_H-M 'P 1'
_symmetry_Int_Tables_number 1
loop_
_symmetry_equiv_pos_as_xyz
'x,y,z'
loop_
_atom_site_label
_atom_site_type_symbol
_atom_site_fract_x
_atom_site_fract_y
_atom_site_fract_z
Ho1 Ho 0.000 0.000 0.000
Ho2 Ho 0.000 0.500 0.250
Ho3 Ho 0.000 0.500 0.750
Ho4 Ho 0.500 0.000 0.250
Ho5 Ho 0.500 0.000 0.750
Ho6 Ho 0.500 0.500 0.242
Ho7 Ho 0.500 0.500 0.758
Tl1 Tl 0.181 0.181 0.500
Tl2 Tl 0.819 0.819 0.500
Pt1 Pt 0.288 0.712 0.000
Pt2 Pt 0.712 0.288 0.000
```

---

No. 3
Entry from Alexandria via LeMat-Bulk: Ho4TlPt after structural relaxation (PBE).

Output
The calculation puts the energy above the most stable polymorph in this dataset at 0.0000 eV per atom. The energy of formation comes out at -0.637 eV/atom. The value obtained for the uncorrected energy is -122.17 eV for the cell shown. The total moment is 0.00 μB/cell.

Structure (CIF):
```
data_Ho4TlPt
_chemical_formula_sum 'Ho16 Tl4 Pt4'
_cell_length_a 9.692
_cell_length_b 9.692
_cell_length_c 9.692
_cell_angle_alpha 60.00
_cell_angle_beta 60.00
_cell_angle_gamma 60.00
_symmetry_space_group_name_H-M 'P 1'
_symmetry_Int_Tables_number 1
loop_
_symmetry_equiv_pos_as_xyz
'x,y,z'
loop_
_atom_site_label
_atom_site_type_symbol
_atom_site_fract_x
_atom_site_fract_y
_atom_site_fract_z
Ho1 Ho 0.055 0.648 0.648
Ho2 Ho 0.061 0.061 0.439
Ho3 Ho 0.061 0.439 0.061
Ho4 Ho 0.061 0.439 0.439
Ho5 Ho 0.188 0.188 0.812
Ho6 Ho 0.188 0.812 0.188
Ho7 Ho 0.188 0.812 0.812
Ho8 Ho 0.439 0.061 0.061
Ho9 Ho 0.439 0.061 0.439
Ho10 Ho 0.439 0.439 0.061
Ho11 Ho 0.648 0.055 0.648
Ho12 Ho 0.648 0.648 0.055
Ho13 Ho 0.648 0.648 0.648
Ho14 Ho 0.812 0.188 0.188
Ho15 Ho 0.812 0.188 0.812
Ho16 Ho 0.812 0.812 0.188
Tl1 Tl 0.414 0.414 0.414
Tl2 Tl 0.414 0.414 0.759
Tl3 Tl 0.414 0.759 0.414
Tl4 Tl 0.759 0.414 0.414
Pt1 Pt 0.430 0.857 0.857
Pt2 Pt 0.857 0.430 0.857
Pt3 Pt 0.857 0.857 0.430
Pt4 Pt 0.857 0.857 0.857
```

---

No. 4
Entry from Alexandria via LeMat-Bulk: Ho4Tl3Pt after structural relaxation (PBE).

Output
The energy of formation comes out at -0.569 eV/atom. The value obtained for the uncorrected energy is -36.00 eV for the cell shown. The total moment is 0.00 μB/cell.

Structure (CIF):
```
data_Ho4Tl3Pt
_chemical_formula_sum 'Ho4 Tl3 Pt1'
_cell_length_a 3.604
_cell_length_b 3.604
_cell_length_c 15.715
_cell_angle_alpha 90.00
_cell_angle_beta 90.00
_cell_angle_gamma 90.00
_symmetry_space_group_name_H-M 'P 1'
_symmetry_Int_Tables_number 1
loop_
_symmetry_equiv_pos_as_xyz
'x,y,z'
loop_
_atom_site_label
_atom_site_type_symbol
_atom_site_fract_x
_atom_site_fract_y
_atom_site_fract_z
Ho1 Ho 0.000 0.000 0.104
Ho2 Ho 0.000 0.000 0.368
Ho3 Ho 0.000 0.000 0.632
Ho4 Ho 0.000 0.000 0.896
Tl1 Tl 0.500 0.500 0.240
Tl2 Tl 0.500 0.500 0.500
Tl3 Tl 0.500 0.500 0.760
Pt1 Pt 0.500 0.500 0.000
```

---

No. 5
Entry from Alexandria via LeMat-Bulk: Ho12Tl6Pt after structural relaxation (PBE).

Output
The energy of formation comes out at -0.131 eV/atom. The value obtained for the uncorrected energy is -77.65 eV for the cell shown. The total moment is 0.00 μB/cell.

Structure (CIF):
```
data_Ho12Tl6Pt
_chemical_formula_sum 'Ho12 Tl6 Pt1'
_cell_length_a 8.691
_cell_length_b 8.691
_cell_length_c 8.691
_cell_angle_alpha 99.49
_cell_angle_beta 99.49
_cell_angle_gamma 99.49
_symmetry_space_group_name_H-M 'P 1'
_symmetry_Int_Tables_number 1
loop_
_symmetry_equiv_pos_as_xyz
'x,y,z'
loop_
_atom_site_label
_atom_site_type_symbol
_atom_site_fract_x
_atom_site_fract_y
_atom_site_fract_z
Ho1 Ho 0.035 0.687 0.935
Ho2 Ho 0.065 0.965 0.313
Ho3 Ho 0.185 0.432 0.568
Ho4 Ho 0.313 0.065 0.965
Ho5 Ho 0.432 0.568 0.185
Ho6 Ho 0.432 0.815 0.568
Ho7 Ho 0.568 0.185 0.432
Ho8 Ho 0.568 0.432 0.815
Ho9 Ho 0.687 0.935 0.035
Ho10 Ho 0.815 0.568 0.432
Ho11 Ho 0.935 0.035 0.687
Ho12 Ho 0.965 0.313 0.065
Tl1 Tl 0.132 0.626 0.303
Tl2 Tl 0.303 0.132 0.626
Tl3 Tl 0.374 0.697 0.868
Tl4 Tl 0.626 0.303 0.132
Tl5 Tl 0.697 0.868 0.374
Tl6 Tl 0.868 0.374 0.697
Pt1 Pt 0.000 0.000 0.000
```

---

No. 6
Entry from Alexandria via LeMat-Bulk: Ho2TlPt after structural relaxation (PBE).

Output
The calculation puts the energy above the most stable polymorph in this dataset at 0.0802 eV per atom. The energy of formation comes out at -0.722 eV/atom. The value obtained for the uncorrected energy is -20.45 eV for the cell shown. The total moment is 0.00 μB/cell.

Structure (CIF):
```
data_Ho2TlPt
_chemical_formula_sum 'Ho2 Tl1 Pt1'
_cell_length_a 8.360
_cell_length_b 8.360
_cell_length_c 8.360
_cell_angle_alpha 27.67
_cell_angle_beta 27.67
_cell_angle_gamma 27.67
_symmetry_space_group_name_H-M 'P 1'
_symmetry_Int_Tables_number 1
loop_
_symmetry_equiv_pos_as_xyz
'x,y,z'
loop_
_atom_site_label
_atom_site_type_symbol
_atom_site_fract_x
_atom_site_fract_y
_atom_site_fract_z
Ho1 Ho 0.000 0.000 0.000
Ho2 Ho 0.202 0.202 0.202
Tl1 Tl 0.434 0.434 0.434
Pt1 Pt 0.600 0.600 0.600
```

---

No. 7
Entry from Alexandria via LeMat-Bulk: Ho3TlPt2 after structural relaxation (PBE).

Output
The energy of formation comes out at -0.953 eV/atom. The value obtained for the uncorrected energy is -33.90 eV for the cell shown. The total moment is 0.00 μB/cell.

Structure (CIF):
```
data_Ho3TlPt2
_chemical_formula_sum 'Ho3 Tl1 Pt2'
_cell_length_a 3.528
_cell_length_b 3.528
_cell_length_c 11.121
_cell_angle_alpha 90.00
_cell_angle_beta 90.00
_cell_angle_gamma 90.00
_symmetry_space_group_name_H-M 'P 1'
_symmetry_Int_Tables_number 1
loop_
_symmetry_equiv_pos_as_xyz
'x,y,z'
loop_
_atom_site_label
_atom_site_type_symbol
_atom_site_fract_x
_atom_site_fract_y
_atom_site_fract_z
Ho1 Ho 0.000 0.000 0.000
Ho2 Ho 0.000 0.000 0.306
Ho3 Ho 0.000 0.000 0.694
Tl1 Tl 0.500 0.500 0.500
Pt1 Pt 0.500 0.500 0.160
Pt2 Pt 0.500 0.500 0.840
```

---

No. 8
Entry from Alexandria via LeMat-Bulk: Ho2TlPt after structural relaxation (PBE).

Output
The calculation puts the energy above the most stable polymorph in this dataset at 0.0000 eV per atom. The energy of formation comes out at -0.802 eV/atom. The value obtained for the uncorrected energy is -41.54 eV for the cell shown. The total moment is 0.00 μB/cell.

Structure (CIF):
```
data_Ho2TlPt
_chemical_formula_sum 'Ho4 Tl2 Pt2'
_cell_length_a 7.147
_cell_length_b 3.563
_cell_length_c 7.572
_cell_angle_alpha 90.00
_cell_angle_beta 90.00
_cell_angle_gamma 90.00
_symmetry_space_group_name_H-M 'P 1'
_symmetry_Int_Tables_number 1
loop_
_symmetry_equiv_pos_as_xyz
'x,y,z'
loop_
_atom_site_label
_atom_site_type_symbol
_atom_site_fract_x
_atom_site_fract_y
_atom_site_fract_z
Ho1 Ho 0.005 0.000 0.219
Ho2 Ho 0.495 0.000 0.219
Ho3 Ho 0.505 0.000 0.781
Ho4 Ho 0.995 0.000 0.781
Tl1 Tl 0.250 0.500 0.508
Tl2 Tl 0.750 0.500 0.492
Pt1 Pt 0.250 0.500 0.975
Pt2 Pt 0.750 0.500 0.025
```

---

No. 9
Entry from Alexandria via LeMat-Bulk: Ho5Tl4Pt2 after structural relaxation (PBE).

Output
The energy of formation comes out at -0.706 eV/atom. The value obtained for the uncorrected energy is -104.40 eV for the cell shown. The total moment is 0.00 μB/cell.

Structure (CIF):
```
data_Ho5Tl4Pt2
_chemical_formula_sum 'Ho10 Tl8 Pt4'
_cell_length_a 8.171
_cell_length_b 18.342
_cell_length_c 3.652
_cell_angle_alpha 90.00
_cell_angle_beta 90.00
_cell_angle_gamma 90.00
_symmetry_space_group_name_H-M 'P 1'
_symmetry_Int_Tables_number 1
loop_
_symmetry_equiv_pos_as_xyz
'x,y,z'
loop_
_atom_site_label
_atom_site_type_symbol
_atom_site_fract_x
_atom_site_fract_y
_atom_site_fract_z
Ho1 Ho 0.000 0.000 0.000
Ho2 Ho 0.112 0.412 0.000
Ho3 Ho 0.245 0.219 0.000
Ho4 Ho 0.255 0.719 0.000
Ho5 Ho 0.388 0.912 0.000
Ho6 Ho 0.500 0.500 0.000
Ho7 Ho 0.612 0.088 0.000
Ho8 Ho 0.745 0.281 0.000
Ho9 Ho 0.755 0.781 0.000
Ho10 Ho 0.888 0.588 0.000
Tl1 Tl 0.079 0.854 0.500
Tl2 Tl 0.209 0.564 0.500
Tl3 Tl 0.291 0.064 0.500
Tl4 Tl 0.421 0.354 0.500
Tl5 Tl 0.579 0.646 0.500
Tl6 Tl 0.709 0.936 0.500
Tl7 Tl 0.791 0.436 0.500
Tl8 Tl 0.921 0.146 0.500
Pt1 Pt 0.029 0.302 0.500
Pt2 Pt 0.471 0.802 0.500
Pt3 Pt 0.529 0.198 0.500
Pt4 Pt 0.971 0.698 0.500
```

---

No. 10
Entry from Alexandria via LeMat-Bulk: Ho6Tl2Pt after structural relaxation (PBE).

Output
The calculation puts the energy above the most stable polymorph in this dataset at 0.1635 eV per atom. The energy of formation comes out at -0.320 eV/atom. The value obtained for the uncorrected energy is -41.12 eV for the cell shown. The total moment is 0.00 μB/cell.

Structure (CIF):
```
data_Ho6Tl2Pt
_chemical_formula_sum 'Ho6 Tl2 Pt1'
_cell_length_a 8.702
_cell_length_b 8.702
_cell_length_c 8.702
_cell_angle_alpha 146.15
_cell_angle_beta 131.13
_cell_angle_gamma 60.77
_symmetry_space_group_name_H-M 'P 1'
_symmetry_Int_Tables_number 1
loop_
_symmetry_equiv_pos_as_xyz
'x,y,z'
loop_
_atom_site_label
_atom_site_type_symbol
_atom_site_fract_x
_atom_site_fract_y
_atom_site_fract_z
Ho1 Ho 0.083 0.344 0.739
Ho2 Ho 0.228 0.000 0.228
Ho3 Ho 0.396 0.656 0.739
Ho4 Ho 0.604 0.344 0.261
Ho5 Ho 0.772 0.000 0.772
Ho6 Ho 0.917 0.656 0.261
Tl1 Tl 0.332 0.832 0.500
Tl2 Tl 0.668 0.168 0.500
Pt1 Pt 0.000 0.500 0.500
```

---

No. 11
Entry from Alexandria via LeMat-Bulk: Ho6TlPt2 after structural relaxation (PBE).

Output
The energy of formation comes out at -0.721 eV/atom. The value obtained for the uncorrected energy is -96.80 eV for the cell shown. The total moment is 0.00 μB/cell.

Structure (CIF):
```
data_Ho6TlPt2
_chemical_formula_sum 'Ho12 Tl2 Pt4'
_cell_length_a 8.547
_cell_length_b 8.547
_cell_length_c 8.547
_cell_angle_alpha 113.43
_cell_angle_beta 110.42
_cell_angle_gamma 104.68
_symmetry_space_group_name_H-M 'P 1'
_symmetry_Int_Tables_number 1
loop_
_symmetry_equiv_pos_as_xyz
'x,y,z'
loop_
_atom_site_label
_atom_site_type_symbol
_atom_site_fract_x
_atom_site_fract_y
_atom_site_fract_z
Ho1 Ho 0.033 0.236 0.797
Ho2 Ho 0.183 0.292 0.474
Ho3 Ho 0.183 0.708 0.891
Ho4 Ho 0.331 0.028 0.697
Ho5 Ho 0.331 0.633 0.303
Ho6 Ho 0.439 0.236 0.203
Ho7 Ho 0.561 0.764 0.797
Ho8 Ho 0.669 0.367 0.697
Ho9 Ho 0.669 0.972 0.303
Ho10 Ho 0.817 0.292 0.109
Ho11 Ho 0.817 0.708 0.526
Ho12 Ho 0.967 0.764 0.203
Tl1 Tl 0.000 0.000 0.000
Tl2 Tl 0.500 0.500 0.000
Pt1 Pt 0.135 0.635 0.500
Pt2 Pt 0.342 0.000 0.342
Pt3 Pt 0.658 0.000 0.658
Pt4 Pt 0.865 0.365 0.500
```

---

No. 12
Entry from Alexandria via LeMat-Bulk: Ho3TlPt after structural relaxation (PBE).

Output
The calculation puts the energy above the most stable polymorph in this dataset at 0.0000 eV per atom. The energy of formation comes out at -0.664 eV/atom. The value obtained for the uncorrected energy is -50.92 eV for the cell shown. The total moment is 0.00 μB/cell.

Structure (CIF):
```
data_Ho3TlPt
_chemical_formula_sum 'Ho6 Tl2 Pt2'
_cell_length_a 4.766
_cell_length_b 6.841
_cell_length_c 8.405
_cell_angle_alpha 90.00
_cell_angle_beta 90.00
_cell_angle_gamma 90.00
_symmetry_space_group_name_H-M 'P 1'
_symmetry_Int_Tables_number 1
loop_
_symmetry_equiv_pos_as_xyz
'x,y,z'
loop_
_atom_site_label
_atom_site_type_symbol
_atom_site_fract_x
_atom_site_fract_y
_atom_site_fract_z
Ho1 Ho 0.250 0.002 0.162
Ho2 Ho 0.250 0.498 0.162
Ho3 Ho 0.250 0.750 0.564
Ho4 Ho 0.750 0.250 0.436
Ho5 Ho 0.750 0.502 0.838
Ho6 Ho 0.750 0.998 0.838
Tl1 Tl 0.250 0.250 0.669
Tl2 Tl 0.750 0.750 0.331
Pt1 Pt 0.250 0.750 0.896
Pt2 Pt 0.750 0.250 0.104
```

---

Which formula does entry 7 have?
Ho3TlPt2